CaNiIO2: optimized geometry, GGA+U.

Lattice parameters (Å, degrees): 4.3168 4.3168 6.7457 90.00 90.00 90.00
Closest atoms and distances in Å follow each position.
Sites, in units of the cell vectors:
O 0.5000 0.0000 0.0000  2 Ca 2.16
O 0.0000 0.5000 0.0000  2 Ca 2.16
Ni 0.5000 0.5000 0.5000  4 I 3.05
I 0.0000 0.0000 0.5000  4 Ni 3.05, 2 Ca 3.37
Ca 0.0000 0.0000 0.0000  4 O 2.16

Values from the calculation:
DOS at the Fermi energy, states/eV/f.u.: 6.4
Space-group type: P4/mmm
Energy above the most stable polymorph in this dataset, meV per atom: 300.5
E_tot, eV per atom: -3.54
Crystal system: tetragonal

CaNiIO2: optimized geometry, GGA+U.

Lattice parameters (Å, degrees): 4.1786 4.1786 5.2474 90.00 90.00 90.00
Closest atoms and distances in Å follow each position.
Sites, in units of the cell vectors:
I 0.0000 0.0000 0.5000  2 Ni 2.62
Ca 0.5000 0.5000 0.5000  4 I 2.95
O 0.5000 0.0000 0.0000  2 Ni 2.09
O 0.0000 0.5000 0.0000  2 Ni 2.09
Ni 0.0000 0.0000 0.0000  4 O 2.09

Values from the calculation:
DOS at the Fermi energy, states/eV/f.u.: 2.0
Space-group type: P4/mmm
Energy above the most stable polymorph in this dataset, meV per atom: 0.0
E_tot, eV per atom: -3.84
Crystal system: tetragonal

CaNiI2O: optimized geometry, GGA+U.

Lattice parameters (Å, degrees): 5.7333 5.7333 3.7450 90.00 90.00 90.00
Closest atoms and distances in Å follow each position.
Sites, in units of the cell vectors:
I 0.5000 0.0000 0.0000  2 Ni 2.87
I 0.0000 0.5000 0.0000  2 Ni 2.87
Ni 0.0000 0.0000 0.0000  2 O 1.87
Ca 0.5000 0.5000 0.5000  8 I 3.42, 2 Ca 3.75
O 0.0000 0.0000 0.5000  2 Ni 1.87

Values from the calculation:
DOS at the Fermi energy, states/eV/f.u.: 1.4
Space-group type: P4/mmm
Energy above the most stable polymorph in this dataset, meV per atom: 0.0
E_tot, eV per atom: -3.16
Crystal system: tetragonal

CaNiI2O: optimized geometry, GGA+U.

Lattice parameters (Å, degrees): 6.1186 6.1186 4.2878 90.00 90.00 90.00
Closest atoms and distances in Å follow each position.
Sites, in units of the cell vectors:
I 0.0000 0.5000 0.0000  2 Ca 3.06
I 0.5000 0.0000 0.0000  2 Ca 3.06
O 0.0000 0.0000 0.5000  2 Ca 2.14
Ni 0.5000 0.5000 0.5000  8 I 3.74
Ca 0.0000 0.0000 0.0000  2 O 2.14

Values from the calculation:
DOS at the Fermi energy, states/eV/f.u.: 4.8
Space-group type: P4/mmm
Energy above the most stable polymorph in this dataset, meV per atom: 292.8
E_tot, eV per atom: -2.87
Crystal system: tetragonal